A relaxed structure of LiLaCdTc2, computed with PBE.

The value obtained for the formation energy from the elements is 1.026 eV/atom.

The structure belongs to space group P4/mmm (No. 123); the cell edges are 5.0988, 5.0988 and 4.4713 Å and the angles 90.00°, 90.00° and 90.00°. Symmetry generates all atoms from Li at (0.0000, 0.0000, 0.0000), La at (0.5000, 0.5000, 0.0000), Cd at (0.0000, 0.0000, 0.5000) and Tc at (0.0000, 0.5000, 0.5000).

A relaxed structure of LiMgNbTc, computed with PBE.

The value obtained for the formation energy from the elements is 0.160 eV/atom.

The structure belongs to space group F-43m (No. 216); the cell edges are 6.3612, 6.3612 and 6.3612 Å and the angles 90.00°, 90.00° and 90.00°. Symmetry generates all atoms from Li at (0.0000, 0.0000, 0.0000), Mg at (0.2500, 0.2500, 0.7500), Nb at (0.2500, 0.2500, 0.2500) and Tc at (0.0000, 0.0000, 0.5000).

A relaxed structure of NaGeBi2F, computed with PBE.

The calculation puts the formation energy (no corrections) at -2.6 eV per formula unit.

The structure belongs to space group P4/mmm (No. 123); the cell edges are 5.2802, 5.2802 and 4.2818 Å and the angles 90.00°, 90.00° and 90.00°. Symmetry generates all atoms from Na at (0.0000, 0.0000, 0.0000), Ge at (0.5000, 0.5000, 0.0000), Bi at (0.0000, 0.5000, 0.5000) and F at (0.0000, 0.0000, 0.5000).